{
  "formula": "LiMgTlZn",
  "functional": "GGA-PBE",
  "state": "relaxed",
  "cell": [[4.533, 0.000, 0.000], [0.000, 4.533, 0.000], [-2.266, -2.267, 3.865]],
  "species": ["Mg", "Zn", "Tl", "Li"],
  "fractional_positions": [[0.250, 0.750, 0.500], [0.500, 0.500, 0.000], [0.000, 0.000, 0.000], [0.750, 0.250, 0.500]],
  "total_magnetization_mub_per_fu": 0.000,
  "formation_enthalpy_0k_mev_per_atom": -101.5,
  "de_polymorph_mev_per_atom": 0.0
}

***

{
  "formula": "K2LaCr",
  "functional": "GGA-PBE",
  "state": "relaxed",
  "cell": [[6.038, -0.042, 0.000], [0.046, 6.038, 0.000], [-3.042, -2.998, 4.268]],
  "species": ["La", "Cr", "K", "K"],
  "fractional_positions": [[0.500, 0.500, 0.000], [0.750, 0.250, 0.500], [0.250, 0.750, 0.500], [0.000, 0.000, 0.000]],
  "total_magnetization_mub_per_fu": 5.766,
  "formation_enthalpy_0k_mev_per_atom": 875.6,
  "de_polymorph_mev_per_atom": 332.8
}